{"formula": "Sr2MgCu4Si3", "functional": "GGA-PBE", "state": "optimized geometry", "lattice": [[-0.6828, -1.9461, -3.7366], [3.9304, -1.6574, 0.1451], [-3.5872, -8.0809, 4.8643]], "species": ["Si", "Si", "Si", "Cu", "Cu", "Cu", "Cu", "Mg", "Sr", "Sr"], "frac_coords": [[0.0000, 0.5000, 0.1212], [0.0000, 0.0000, 0.5000], [0.5000, 0.0000, 0.8788], [0.5000, 0.0000, 0.6391], [0.0000, 0.0000, 0.0000], [0.5000, 0.5000, 0.0000], [0.0000, 0.5000, 0.3609], [0.5000, 0.5000, 0.5000], [0.5000, 0.0000, 0.2383], [0.0000, 0.5000, 0.7617]], "e_form_raw_ev_per_atom": -0.279, "magnetic_moment_mub_per_cell": 0.00, "dos_ef_per_ev_atom": 0.44}